No. 1
Compound: BeCoMo3
Source: the Alexandria database
Functional: PBE
Structure: relaxed

Calculated values
SG ... Pm-3m, No. 221

a = 4.160 Å, b = 4.160 Å, c = 4.160 Å
α = 90.00°, β = 90.00°, γ = 90.00°
Fractional positions:
Be 0.000 0.000 0.000
Mo 0.000 0.000 0.500
Mo 0.000 0.500 0.000
Mo 0.500 0.000 0.000
Co 0.500 0.500 0.500

No. 2
Compound: BeCoNiMo2
Source: the Alexandria database
Functional: PBE
Structure: relaxed

Calculated values
SG ... P4/mmm, No. 123

a = 4.416 Å, b = 4.226 Å, c = 4.416 Å
α = 90.00°, β = 90.00°, γ = 90.00°
Fractional positions:
Be 0.500 0.500 0.500
Mo 0.000 0.000 0.500
Mo 0.500 0.000 0.000
Ni 0.000 0.000 0.000
Co 0.000 0.500 0.000

no.,energy relative to the elements (eV per formula unit),DFT total energy (eV per atom),total magnetic moment (μB per cell)
1,4.4,-7.792,0.0
2,7.5,-6.161,1.4